--- a ---
VASP calculation (PBE) on an optimized crystal structure of Ba2Sc2Au.

abc: 4.3396 4.3396 17.5628
angles: 90.00 90.00 90.00
Closest atoms and distances in Å follow each position.
Space group I4/mmm (No. 139)
Inequivalent atoms, fractional coordinates:
Ba 0.0000 0.5000 0.2500 [4 per cell]  4 Ba 3.07
Sc 0.0000 0.0000 0.0751 [4 per cell]  1 Sc 2.64
Au 0.0000 0.0000 0.5000 [2 per cell]  8 Sc 3.34

DOS at the Fermi energy = 19.30 states/eV/cell
Total magnetization = 0.000 μB per cell

--- b ---
VASP calculation (PBE) on an optimized crystal structure of Ba2Sc2Au.

abc: 7.3692 7.3692 6.0565
angles: 90.00 90.00 90.00
Closest atoms and distances in Å follow each position.
Space group P4/mbm (No. 127)
Inequivalent atoms, fractional coordinates:
Ba 0.1825 0.3175 0.0000 [4 per cell]  2 Sc 3.48, 5 Ba 3.80-3.82
Sc 0.1529 0.6529 0.5000 [4 per cell]  2 Au 2.80
Au 0.0000 0.0000 0.5000 [2 per cell]  4 Sc 2.80

DOS at the Fermi energy = 24.07 states/eV/cell
Total magnetization = 0.000 μB per cell

Least stable structure: a

--- a ---
VASP calculation (PBE) on an optimized crystal structure of BaSc3Au.

abc: 5.3716 5.3716 5.3716
angles: 90.00 90.00 90.00
Closest atoms and distances in Å follow each position.
Space group Pm-3m (No. 221)
Inequivalent atoms, fractional coordinates:
Ba 0.0000 0.0000 0.0000 [1 per cell]  12 Sc 3.80
Sc 0.0000 0.5000 0.5000 [3 per cell]  2 Au 2.69
Au 0.5000 0.5000 0.5000 [1 per cell]  6 Sc 2.69

DOS at the Fermi energy = 7.02 states/eV/cell
Total magnetization = 0.001 μB per cell

--- b ---
VASP calculation (PBE) on an optimized crystal structure of BaSc3Au.

abc: 5.2144 5.2144 5.2144
angles: 90.00 90.00 90.00
Closest atoms and distances in Å follow each position.
Space group Pm-3m (No. 221)
Inequivalent atoms, fractional coordinates:
Ba 0.0000 0.0000 0.0000 [1 per cell]  6 Sc 2.61
Sc 0.0000 0.0000 0.5000 [3 per cell]  2 Ba 2.61
Au 0.5000 0.5000 0.5000 [1 per cell]  12 Sc 3.69

DOS at the Fermi energy = 5.06 states/eV/cell
Total magnetization = 0.000 μB per cell

Least stable structure: b

--- a ---
VASP calculation (PBE) on an optimized crystal structure of BaAuSe2.

abc: 4.1409 4.1409 26.7099
angles: 90.00 90.00 120.00
Closest atoms and distances in Å follow each position.
Space group R-3m (No. 166, hexagonal axes)
Inequivalent atoms, fractional coordinates:
Ba 0.0000 0.0000 0.0000 [3 per cell]  2 Se 3.16
Au 0.0000 0.0000 0.5000 [3 per cell]  6 Se 2.72
Se 0.0000 0.0000 0.1182 [6 per cell]  3 Au 2.72

DOS at the Fermi energy = 10.50 states/eV/cell
Total magnetization = 1.872 μB per cell

--- b ---
VASP calculation (PBE) on an optimized crystal structure of BaAuSe2.

abc: 7.5065 7.5065 7.5065
angles: 90.00 90.00 90.00
Closest atoms and distances in Å follow each position.
Space group Fm-3m (No. 225)
Inequivalent atoms, fractional coordinates:
Ba 0.0000 0.0000 0.0000 [4 per cell]  8 Se 3.25
Au 0.0000 0.0000 0.5000 [4 per cell]  8 Se 3.25
Se 0.2500 0.2500 0.2500 [8 per cell]  4 Ba 3.25, 4 Au 3.25

DOS at the Fermi energy = 25.17 states/eV/cell
Total magnetization = 0.000 μB per cell

Least stable structure: a

--- a ---
VASP calculation (PBE) on an optimized crystal structure of BaAuSe2.

abc: 7.5595 7.5595 3.9138
angles: 90.00 90.00 90.00
Closest atoms and distances in Å follow each position.
Space group P4/mbm (No. 127)
Inequivalent atoms, fractional coordinates:
Ba 0.0000 0.0000 0.0000 [2 per cell]  8 Se 3.43, 4 Au 3.78
Au 0.0000 0.5000 0.0000 [2 per cell]  4 Se 2.64
Se 0.1656 0.3344 0.5000 [4 per cell]  2 Au 2.64

DOS at the Fermi energy = 5.76 states/eV/cell
Total magnetization = 0.000 μB per cell

--- b ---
VASP calculation (PBE) on an optimized crystal structure of BaAuSe2.

abc: 7.4655 6.1757 5.8700
angles: 90.00 116.89 90.00
Closest atoms and distances in Å follow each position.
Space group C2/m (No. 12)
Inequivalent atoms, fractional coordinates:
Ba 0.0000 0.0000 0.0000 [2 per cell]  6 Se 3.28-3.43, 2 Au 3.55
Au 0.0000 0.5000 0.5000 [2 per cell]  2 Se 2.43
Se 0.1854 0.5000 0.2499 [4 per cell]  1 Au 2.43

DOS at the Fermi energy = 3.96 states/eV/cell
Total magnetization = 0.000 μB per cell

Least stable structure: b

--- a ---
VASP calculation (PBE) on an optimized crystal structure of BaAuSe3.

abc: 5.2095 5.2095 5.2095
angles: 90.00 90.00 90.00
Closest atoms and distances in Å follow each position.
Space group Pm-3m (No. 221)
Inequivalent atoms, fractional coordinates:
Ba 0.0000 0.0000 0.0000 [1 per cell]  12 Se 3.68
Au 0.5000 0.5000 0.5000 [1 per cell]  6 Se 2.60
Se 0.0000 0.5000 0.5000 [3 per cell]  2 Au 2.60

DOS at the Fermi energy = 3.64 states/eV/cell
Total magnetization = 0.000 μB per cell

--- b ---
VASP calculation (PBE) on an optimized crystal structure of BaAuSe3.

abc: 6.2565 6.2565 6.2565
angles: 90.00 90.00 90.00
Closest atoms and distances in Å follow each position.
Space group Pm-3m (No. 221)
Inequivalent atoms, fractional coordinates:
Ba 0.0000 0.0000 0.0000 [1 per cell]  6 Se 3.13
Au 0.5000 0.5000 0.5000 [1 per cell]  12 Se 4.42
Se 0.0000 0.0000 0.5000 [3 per cell]  2 Ba 3.13

DOS at the Fermi energy = 4.27 states/eV/cell
Total magnetization = 3.150 μB per cell

Least stable structure: b

--- a ---
VASP calculation (PBE) on an optimized crystal structure of BaAuSe3.

abc: 7.9376 7.9376 14.9598
angles: 90.00 90.00 120.00
Closest atoms and distances in Å follow each position.
Space group R-3c (No. 167, hexagonal axes)
Inequivalent atoms, fractional coordinates:
Ba 0.0000 0.0000 0.2500 [6 per cell]  9 Se 3.33-3.45
Au 0.0000 0.0000 0.0000 [6 per cell]  6 Se 2.69
Se 0.0000 0.4196 0.2500 [18 per cell]  2 Au 2.69

DOS at the Fermi energy = 15.08 states/eV/cell
Total magnetization = 0.000 μB per cell

--- b ---
VASP calculation (PBE) on an optimized crystal structure of BaAuSe3.

abc: 5.4605 5.5316 11.0253
angles: 90.00 95.33 90.00
Closest atoms and distances in Å follow each position.
Space group P2_1/m (No. 11)
Inequivalent atoms, fractional coordinates:
Ba 0.0255 0.2500 0.2862 [2 per cell]  7 Se 3.28-3.44
Au 0.4505 0.7500 0.1150 [2 per cell]  4 Se 2.49-2.77
Se 0.1723 0.2500 0.5963 [2 per cell]  1 Se 2.42
Se 0.3922 0.7500 0.3370 [2 per cell]  1 Se 2.42, 1 Au 2.50
Se 0.4783 0.2500 0.1047 [2 per cell]  3 Au 2.49-2.77

DOS at the Fermi energy = 1.24 states/eV/cell
Total magnetization = 0.000 μB per cell

Least stable structure: a